1.
A relaxed structure of RbGe2PbC, computed with PBE-GGA.

```
5
Lattice="5.413 0.000 0.000 0.000 7.650 0.000 0.000 0.000 5.413" Properties=species:S:1:pos:R:3 pbc="T T T"
Rb 0.000 3.825 0.000
Ge 2.706 0.000 0.000
Pb 0.000 0.000 0.000
C 2.706 3.825 2.706
Ge 0.000 0.000 2.706
```

Properties
The calculation puts the volume at 224.1 Å³ per cell. The total energy comes out at -2.811 eV per atom.



2.
A relaxed structure of ReGePb2C, computed with PBE-GGA.

```
5
Lattice="5.506 0.000 0.000 0.000 4.670 0.000 0.000 0.000 5.506" Properties=species:S:1:pos:R:3 pbc="T T T"
Pb 0.000 0.000 2.753
Pb 2.753 0.000 0.000
Ge 0.000 0.000 0.000
Re 0.000 2.335 0.000
C 2.753 2.335 2.753
```

Properties
The calculation puts the volume at 141.6 Å³ per cell. The total energy comes out at -4.341 eV per atom.



3.
A relaxed structure of GeRu2PbC, computed with PBE-GGA.

```
5
Lattice="-1.903 0.693 -4.298 -3.479 0.123 1.560 0.421 4.698 0.570" Properties=species:S:1:pos:R:3 pbc="T T T"
Ru 0.211 2.349 0.285
C -1.739 0.061 0.780
Ge 0.000 0.000 0.000
Pb -2.480 2.757 -1.084
Ru -0.952 0.346 -2.149
```

Properties
The calculation puts the volume at 86.1 Å³ per cell. The total energy comes out at -5.804 eV per atom.



4.
A relaxed structure of TaGePb2C, computed with PBE-GGA.

```
5
Lattice="-0.594 -4.268 -2.874 1.829 -2.274 3.000 -4.621 -0.830 2.188" Properties=species:S:1:pos:R:3 pbc="T T T"
Ta 0.914 -1.137 1.500
Pb -0.297 -2.134 -1.437
Pb -2.311 -0.415 1.094
C 0.000 0.000 0.000
Ge -1.693 -3.686 1.157
```

Properties
The calculation puts the volume at 112.3 Å³ per cell. The total energy comes out at -5.709 eV per atom.